An optimized crystal structure of MgVIn2. Source: Alexandria via LeMat-Bulk, functional PBE.

Calculated values
As for the formation energy: 0.15 eV/atom. Its total energy is -0.143 Ha/atom. The calculation puts the total magnetization at 2.2 μB/cell.

abc: 4.207 4.368 4.368
angles: 90.00 90.00 90.00
Sites, in units of the cell vectors:
Mg (0.500, 0.500, 0.500)
V (0.500, 0.000, 0.000)
In (0.000, 0.000, 0.500)
In (0.000, 0.500, 0.000)